(1)
# DyGa4NiRh2 | the Alexandria database | PBE-GGA | optimized geometry
data_DyGa4NiRh2
_cell_length_a 4.2141
_cell_length_b 4.2141
_cell_length_c 25.4700
_cell_angle_alpha 90.00
_cell_angle_beta 90.00
_cell_angle_gamma 120.00
_symmetry_space_group_name_H-M 'R -3 m'
_symmetry_Int_Tables_number 166
_symmetry_space_group_name_Hall '-R 3 2"'
loop_
_atom_site_label
_atom_site_type_symbol
_atom_site_fract_x
_atom_site_fract_y
_atom_site_fract_z
_atom_site_occupancy
Dy1 Dy 0.0000 0.0000 0.0000 1
Ga1 Ga 0.0000 0.0000 0.1324 1
Ga2 Ga 0.0000 0.0000 0.4001 1
Ni1 Ni 0.0000 0.0000 0.5000 1
Rh1 Rh 0.0000 0.0000 0.2337 1
# Electronic total energy, eV/atom: -5.258
# Energy of formation, eV/atom: -0.61
# Crystal system: trigonal
# N(E_F), states/eV/cell: 15.7
# M_tot, μB/f.u.: 0.0
# Mass density, g/cm³: 8.98

***

(2)
# AcLaI2 | the Alexandria database | PBE-GGA | optimized geometry
data_AcLaI2
_cell_length_a 4.0360
_cell_length_b 4.0360
_cell_length_c 30.6158
_cell_angle_alpha 90.00
_cell_angle_beta 90.00
_cell_angle_gamma 120.00
_symmetry_space_group_name_H-M 'R 3 m'
_symmetry_Int_Tables_number 160
_symmetry_space_group_name_Hall 'R 3 -2"'
loop_
_atom_site_label
_atom_site_type_symbol
_atom_site_fract_x
_atom_site_fract_y
_atom_site_fract_z
_atom_site_occupancy
Ac1 Ac 0.0000 0.0000 0.0000 1
La1 La 0.0000 0.0000 0.8358 1
I1 I 0.0000 0.0000 0.2473 1
I2 I 0.0000 0.0000 0.4225 1
# Energy above the lowest structure with this stoichiometry, kJ/mol of formula units: 0
# Energy relative to the elements, uncorrected, eV per atom: -0.97
# Electronic total energy, eV/atom: -4.005
# Crystal system: trigonal
# N(E_F), states/eV/cell: 8.0
# M_tot, μB/f.u.: 0.0
# Mass density, g/cm³: 7.15